(1)
Density functional theory data (meta-GGA SCAN) for SrTlPS4 at its PBEsol-relaxed geometry.

Cell and atoms, written as CIF:
```
data_SrTlPS4
_symmetry_space_group_name_H-M 'P 1'
_symmetry_Int_Tables_number 1
_cell_length_a 6.4930
_cell_length_b 8.5132
_cell_length_c 12.5054
_cell_angle_alpha 90.00
_cell_angle_beta 90.00
_cell_angle_gamma 90.00
loop_
_symmetry_equiv_pos_as_xyz
'x,y,z'
loop_
_atom_site_label
_atom_site_fract_x
_atom_site_fract_y
_atom_site_fract_z
_atom_site_occupancy
S1 0.2500 0.4186 0.9329 1
S2 0.9993 0.6357 0.7504 1
S3 0.7500 0.3196 0.5538 1
S4 0.7500 0.5814 0.0671 1
S5 0.7500 0.1804 0.0538 1
S6 0.5007 0.8643 0.2504 1
S7 0.2500 0.6804 0.4462 1
S8 0.2500 0.8196 0.9462 1
S9 0.4993 0.1357 0.7496 1
S10 0.0007 0.3643 0.2496 1
S11 0.2500 0.0814 0.4329 1
S12 0.5007 0.6357 0.7504 1
S13 0.4993 0.3643 0.2496 1
S14 0.9993 0.8643 0.2504 1
S15 0.0007 0.1357 0.7496 1
S16 0.7500 0.9186 0.5671 1
Sr1 0.2500 0.8891 0.6347 1
Sr2 0.2500 0.6109 0.1347 1
Sr3 0.7500 0.1109 0.3653 1
Sr4 0.7500 0.3891 0.8653 1
Tl1 0.2500 0.1242 0.1093 1
Tl2 0.2500 0.3758 0.6093 1
Tl3 0.7500 0.6242 0.3907 1
Tl4 0.7500 0.8758 0.8907 1
P1 0.2500 0.6261 0.8503 1
P2 0.7500 0.1261 0.6497 1
P3 0.7500 0.3739 0.1497 1
P4 0.2500 0.8739 0.3503 1
```

N(E_F) in states/eV/cell: 0.00
M_tot in μB per atom: 0.00
Calculated total energy in eV per atom: -21.59

***

(2)
Density functional theory data (meta-GGA SCAN) for Li2CdPd2 at its PBEsol-relaxed geometry.

Cell and atoms, written as CIF:
```
data_Li2CdPd2
_symmetry_space_group_name_H-M 'P 1'
_symmetry_Int_Tables_number 1
_cell_length_a 2.8763
_cell_length_b 7.1685
_cell_length_c 7.1685
_cell_angle_alpha 90.00
_cell_angle_beta 90.00
_cell_angle_gamma 90.00
loop_
_symmetry_equiv_pos_as_xyz
'x,y,z'
loop_
_atom_site_label
_atom_site_fract_x
_atom_site_fract_y
_atom_site_fract_z
_atom_site_occupancy
Li1 0.5000 0.6608 0.8392 1
Li2 0.5000 0.8392 0.3392 1
Li3 0.5000 0.3392 0.1608 1
Li4 0.5000 0.1608 0.6608 1
Pd1 0.0000 0.1359 0.3641 1
Pd2 0.0000 0.8641 0.6359 1
Pd3 0.0000 0.6359 0.1359 1
Pd4 0.0000 0.3641 0.8641 1
Cd1 0.0000 0.0000 0.0000 1
Cd2 0.0000 0.5000 0.5000 1
```

N(E_F) in states/eV/cell: 2.92
Calculated formation energy in eV per atom: -0.37
M_tot in μB per atom: 0.00
Calculated total energy in eV per atom: -20.51

***

(3)
Density functional theory data (meta-GGA SCAN) for Lu2CoTe2S2O14 at its PBEsol-relaxed geometry.

Cell and atoms, written as CIF:
```
data_Lu2CoTe2S2O14
_symmetry_space_group_name_H-M 'P 1'
_symmetry_Int_Tables_number 1
_cell_length_a 5.4058
_cell_length_b 7.9307
_cell_length_c 7.8542
_cell_angle_alpha 113.78
_cell_angle_beta 107.62
_cell_angle_gamma 96.76
loop_
_symmetry_equiv_pos_as_xyz
'x,y,z'
loop_
_atom_site_label
_atom_site_fract_x
_atom_site_fract_y
_atom_site_fract_z
_atom_site_occupancy
Te1 0.1273 0.7559 0.1327 1
Te2 0.8727 0.2441 0.8673 1
Lu1 0.8425 0.7706 0.4729 1
Lu2 0.1575 0.2294 0.5271 1
O1 0.2921 0.5204 0.5657 1
O2 0.7908 0.1782 0.2639 1
O3 0.1155 0.9223 0.3848 1
O4 0.3702 0.1802 0.3123 1
O5 0.5562 0.7227 0.9253 1
O6 0.2092 0.8218 0.7361 1
O7 0.6298 0.8198 0.6877 1
O8 0.7079 0.4796 0.4343 1
O9 0.4550 0.7014 0.2405 1
O10 0.4438 0.2773 0.0747 1
O11 0.8845 0.0777 0.6152 1
O12 0.0966 0.4373 0.8466 1
O13 0.9034 0.5627 0.1534 1
O14 0.5450 0.2986 0.7595 1
Co1 0.5000 0.5000 0.0000 1
S1 0.5782 0.2806 0.2724 1
S2 0.4218 0.7194 0.7276 1
```

N(E_F) in states/eV/cell: 0.00
M_tot in μB per atom: 0.14
Calculated total energy in eV per atom: -16.83